Compound: Pu5Tl3In3
Source: the Alexandria database
Functional: PBE
Structure: optimized geometry

Output
The symmetry is P-62m (189).

a b c (Å): 10.8123 10.8123 3.1477
angles (deg): 90.00 90.00 120.00
With the nearest neighbours (Å) after each atom.
Positions (direct):
Pu 0.0000 0.6601 0.0000  2 Pu 3.15, 2 In 3.18, 2 Tl 3.19
Pu 0.3333 0.6667 0.0000  2 Pu 3.15
Pu 0.3399 0.3399 0.0000  2 Pu 3.15, 2 In 3.18, 2 Tl 3.19
Pu 0.6601 0.0000 0.0000  2 Pu 3.15, 2 In 3.18, 2 Tl 3.19
Pu 0.6667 0.3333 0.0000  2 Pu 3.15
Tl 0.0000 0.4035 0.5000  2 In 3.07, 2 Tl 3.15, 2 Pu 3.19
Tl 0.4035 0.0000 0.5000  2 In 3.07, 2 Tl 3.15, 2 Pu 3.19
Tl 0.5965 0.5965 0.5000  2 In 3.07, 2 Tl 3.15, 2 Pu 3.19
In 0.0000 0.1599 0.0000  4 In 2.99-3.15, 2 Tl 3.07, 2 Pu 3.18
In 0.1599 0.0000 0.0000  4 In 2.99-3.15, 2 Tl 3.07, 2 Pu 3.18
In 0.8401 0.8401 0.0000  4 In 2.99-3.15, 2 Tl 3.07, 2 Pu 3.18

***

Compound: LaTa7O19
Source: the Alexandria database
Functional: PBE
Structure: optimized geometry

Output
As for the uncorrected formation energy: -2.946 eV per atom. The symmetry is P-6c2 (188).

a b c (Å): 6.3004 6.3004 20.1936
angles (deg): 90.00 90.00 120.00
With the nearest neighbours (Å) after each atom.
Positions (direct):
La 0.0000 0.0000 0.0000  8 O 2.48-2.68
La 0.0000 0.0000 0.5000  8 O 2.48-2.68
Ta 0.3350 0.0255 0.1560  6 O 1.93-2.09
Ta 0.3350 0.0255 0.3440  6 O 1.93-2.09
Ta 0.3350 0.3095 0.6560  6 O 1.93-2.09
Ta 0.3350 0.3095 0.8440  6 O 1.93-2.09
Ta 0.6667 0.3333 0.0000  6 O 2.00
Ta 0.6667 0.3333 0.5000  6 O 2.00
Ta 0.6905 0.0255 0.6560  6 O 1.93-2.09
Ta 0.6905 0.0255 0.8440  6 O 1.93-2.09
Ta 0.6905 0.6650 0.1560  6 O 1.93-2.09
Ta 0.6905 0.6650 0.3440  6 O 1.93-2.09
Ta 0.9745 0.3095 0.1560  6 O 1.93-2.09
Ta 0.9745 0.3095 0.3440  6 O 1.93-2.09
Ta 0.9745 0.6650 0.6560  6 O 1.93-2.09
Ta 0.9745 0.6650 0.8440  6 O 1.93-2.09
O 0.0000 0.0000 0.1328  3 Ta 2.09
O 0.0000 0.0000 0.3672  3 Ta 2.09
O 0.0000 0.0000 0.6328  3 Ta 2.09
O 0.0000 0.0000 0.8672  3 Ta 2.09
O 0.0887 0.4216 0.6534  2 Ta 1.99-2.00
O 0.0887 0.4216 0.8466  2 Ta 1.99-2.00
O 0.0887 0.6671 0.1534  2 Ta 1.99-2.00
O 0.0887 0.6671 0.3466  2 Ta 1.99-2.00
O 0.2930 0.0413 0.2500  2 Ta 1.93
O 0.2930 0.2516 0.7500  2 Ta 1.93
O 0.3329 0.4216 0.1534  2 Ta 1.99-2.00
O 0.3329 0.4216 0.3466  2 Ta 1.99-2.00
O 0.3329 0.9113 0.6534  2 Ta 1.99-2.00
O 0.3329 0.9113 0.8466  2 Ta 1.99-2.00
O 0.3876 0.0977 0.0572  2 Ta 2.00-2.04
O 0.3876 0.0977 0.4428  2 Ta 2.00-2.04
O 0.3876 0.2899 0.5572  2 Ta 2.00-2.04
O 0.3876 0.2899 0.9428  2 Ta 2.00-2.04
O 0.5784 0.6671 0.6534  2 Ta 1.99-2.00
O 0.5784 0.6671 0.8466  2 Ta 1.99-2.00
O 0.5784 0.9113 0.1534  2 Ta 1.99-2.00
O 0.5784 0.9113 0.3466  2 Ta 1.99-2.00
O 0.6667 0.3333 0.1675  3 Ta 2.03
O 0.6667 0.3333 0.3325  3 Ta 2.03
O 0.6667 0.3333 0.6675  3 Ta 2.03
O 0.6667 0.3333 0.8325  3 Ta 2.03
O 0.7101 0.0977 0.5572  2 Ta 2.00-2.04
O 0.7101 0.0977 0.9428  2 Ta 2.00-2.04
O 0.7101 0.6124 0.0572  2 Ta 2.00-2.04
O 0.7101 0.6124 0.4428  2 Ta 2.00-2.04
O 0.7484 0.0413 0.7500  2 Ta 1.93
O 0.7484 0.7070 0.2500  2 Ta 1.93
O 0.9023 0.2899 0.0572  2 Ta 2.00-2.04
O 0.9023 0.2899 0.4428  2 Ta 2.00-2.04
O 0.9023 0.6124 0.5572  2 Ta 2.00-2.04
O 0.9023 0.6124 0.9428  2 Ta 2.00-2.04
O 0.9587 0.2516 0.2500  2 Ta 1.93
O 0.9587 0.7070 0.7500  2 Ta 1.93

***

Compound: HfSNO2
Source: the Alexandria database
Functional: PBE
Structure: optimized geometry

Output
As for the uncorrected formation energy: -0.457 eV per atom. The symmetry is P4/mmm (123).

a b c (Å): 4.0045 4.0045 4.4847
angles (deg): 90.00 90.00 90.00
With the nearest neighbours (Å) after each atom.
Positions (direct):
Hf 0.0000 0.0000 0.0000  4 O 2.00, 2 N 2.24
S 0.5000 0.5000 0.5000  4 N 2.83, 8 O 3.01
N 0.0000 0.0000 0.5000  2 Hf 2.24
O 0.0000 0.5000 0.0000  2 Hf 2.00
O 0.5000 0.0000 0.0000  2 Hf 2.00

***

Compound: AcPuPd2
Source: the Alexandria database
Functional: PBE
Structure: optimized geometry

Output
The offset from the most stable computed form is 0.141 eV per atom. The symmetry is R3m (160).

a b c (Å): 7.5821 7.5821 7.5821
angles (deg): 32.33 32.33 32.33
With the nearest neighbours (Å) after each atom.
Positions (direct):
Ac 0.0000 0.0000 0.0000  6 Pd 3.09-3.20
Pu 0.1724 0.1724 0.1724  6 Pd 2.89-2.94
Pd 0.5782 0.5782 0.5782  3 Pu 2.89, 3 Ac 3.09
Pd 0.7630 0.7630 0.7630  3 Pu 2.94, 3 Ac 3.20

***

Compound: HPtF6
Source: the Alexandria database
Functional: PBE
Structure: optimized geometry

Output
The symmetry is C2/m (12).

a b c (Å): 5.2017 5.2017 5.4018
angles (deg): 103.81 103.81 117.37
With the nearest neighbours (Å) after each atom.
Positions (direct):
H 0.0000 0.0000 0.0000  2 F 1.16
Pt 0.0000 0.0000 0.5000  6 F 1.91-1.99
F 0.1062 0.4085 0.7220  1 Pt 1.91
F 0.1599 0.1599 0.2339  1 H 1.16
F 0.4085 0.1062 0.7220  1 Pt 1.91
F 0.5915 0.8938 0.2780  1 Pt 1.91
F 0.8401 0.8401 0.7661  1 H 1.16
F 0.8938 0.5915 0.2780  1 Pt 1.91

***

Compound: Ac2PuThN4
Source: the Alexandria database
Functional: PBE
Structure: optimized geometry

Output
As for the uncorrected formation energy: -1.218 eV per atom. The symmetry is P2/m (10).

a b c (Å): 6.4140 3.7190 6.4628
angles (deg): 90.00 110.62 90.00
With the nearest neighbours (Å) after each atom.
Positions (direct):
Ac 0.0000 0.0000 0.0000  6 N 2.78-2.79
Ac 0.0000 0.5000 0.5000  6 N 2.73-2.76
Pu 0.5000 0.0000 0.5000  6 N 2.45-2.51
Th 0.5000 0.5000 0.0000  6 N 2.50-2.55
N 0.2860 0.0000 0.7588  2 Th 2.50, 1 Pu 2.51, 3 Ac 2.73-2.79
N 0.2926 0.5000 0.2721  2 Pu 2.45, 1 Th 2.55
N 0.7074 0.5000 0.7279  2 Pu 2.45, 1 Th 2.55
N 0.7140 0.0000 0.2412  2 Th 2.50, 1 Pu 2.51, 3 Ac 2.73-2.79

***

Compound: Th3Ni8Sn
Source: the Alexandria database
Functional: PBE
Structure: optimized geometry

Output
The symmetry is R3m (160).

a b c (Å): 8.9274 8.9274 8.9274
angles (deg): 33.52 33.52 33.52
With the nearest neighbours (Å) after each atom.
Positions (direct):
Th 0.0000 0.0000 0.0000  12 Ni 2.99-3.03, 4 Th 3.22-3.23
Th 0.1278 0.1278 0.1278  12 Ni 2.95-3.08, 3 Sn 3.09, 1 Th 3.23
Th 0.6181 0.6181 0.6181  12 Ni 2.95-3.13, 1 Sn 3.13, 3 Th 3.22
Ni 0.0586 0.0586 0.5668  6 Ni 2.53-2.62
Ni 0.0586 0.5668 0.0586  6 Ni 2.53-2.62
Ni 0.0617 0.5598 0.5598  6 Ni 2.56-2.59
Ni 0.3104 0.3104 0.3104  6 Ni 2.57
Ni 0.5598 0.0617 0.5598  6 Ni 2.56-2.59
Ni 0.5598 0.5598 0.0617  6 Ni 2.56-2.59
Ni 0.5668 0.0586 0.0586  6 Ni 2.53-2.62
Ni 0.8111 0.8111 0.8111  6 Ni 2.57-2.59
Sn 0.4942 0.4942 0.4942  12 Ni 2.94-3.08, 4 Th 3.09-3.13

***

Compound: Ho2Ga2Ag3
Source: the Alexandria database
Functional: PBE
Structure: optimized geometry

Output
The offset from the most stable computed form is 0.049 eV per atom. The symmetry is Cmcm (63).

a b c (Å): 10.1221 10.1221 7.1339
angles (deg): 90.00 90.00 155.76
With the nearest neighbours (Å) after each atom.
Positions (direct):
Ho 0.0521 0.9479 0.7500  9 Ag 3.07-3.41
Ho 0.1592 0.8408 0.2500  6 Ga 3.09-3.31, 6 Ag 3.15-3.17
Ho 0.8408 0.1592 0.7500  6 Ga 3.09-3.31, 6 Ag 3.15-3.17
Ho 0.9479 0.0521 0.2500  9 Ag 3.07-3.41
Ga 0.3109 0.6891 0.0540  4 Ag 2.61-2.79, 1 Ga 2.80
Ga 0.3109 0.6891 0.4460  4 Ag 2.61-2.79, 1 Ga 2.80
Ga 0.6891 0.3109 0.5540  4 Ag 2.61-2.79, 1 Ga 2.80
Ga 0.6891 0.3109 0.9460  4 Ag 2.61-2.79, 1 Ga 2.80
Ag 0.2220 0.7780 0.7500  6 Ga 2.63-2.79
Ag 0.4363 0.5637 0.5591  1 Ga 2.61, 2 Ag 2.66-2.72
Ag 0.4363 0.5637 0.9409  1 Ga 2.61, 2 Ag 2.66-2.72
Ag 0.5637 0.4363 0.0591  1 Ga 2.61, 2 Ag 2.66-2.72
Ag 0.5637 0.4363 0.4409  1 Ga 2.61, 2 Ag 2.66-2.72
Ag 0.7780 0.2220 0.2500  6 Ga 2.63-2.79

***

Total DFT energy (no corrections)? In order: -7.630; -9.691; -6.922; -7.641; -3.849; -9.127; -6.426; -3.685 eV/atom.
DOS(E_F)? In order: 47.39; 0.00; 4.84; 13.61; 1.03; 8.29; 9.81; 9.02 states/eV per cell.
Density? In order: 11.35; 8.18; 5.92; 10.25; 4.47; 11.35; 11.04; 8.78 g cm⁻³.